Entry 1:
DFT (PBE) results for a relaxed Hf2CuNi2 crystal.

As for the total magnetization: 0.0 μB/f.u. As for the formation energy from the elements: -0.06 eV/atom.

Unit cell a=7.3442 b=7.3442 c=3.0395 alpha=90.00 beta=90.00 gamma=90.00
Last column: nearest neighbours and their distance in Å.
Space group P4/mbm (No. 127)
Asymmetric unit:
Hf1 0.1624 0.3376 0.0000 (multiplicity 4)  6 Ni 2.64-2.65, 2 Cu 2.75
Cu1 0.0000 0.0000 0.0000 (multiplicity 2)  4 Hf 2.75, 2 Cu 3.04
Ni1 0.1292 0.6292 0.5000 (multiplicity 4)  6 Hf 2.64-2.65, 1 Ni 2.68

Entry 2:
DFT (PBE) results for a relaxed Hf12Sn6W crystal.

As for the total magnetization: 0.0 μB/f.u. As for the formation energy from the elements: 0.17 eV/atom.

Unit cell a=12.2138 b=12.2138 c=10.9189 alpha=90.00 beta=90.00 gamma=120.00
Last column: nearest neighbours and their distance in Å.
Space group R-3 (No. 148, hexagonal axes)
Asymmetric unit:
Hf1 0.0215 0.1602 0.3786 (multiplicity 18)  4 Sn 2.91-3.16, 5 Hf 3.11-3.23
Hf2 0.0757 0.1978 0.8693 (multiplicity 18)  1 W 2.55
Sn1 0.0315 0.2936 0.6299 (multiplicity 18)  7 Hf 2.86-3.16
W1 0.0000 0.0000 0.0000 (multiplicity 3)  6 Hf 2.55

Entry 3:
DFT (PBE) results for a relaxed Cd2SbSe crystal.

As for the total magnetization: 0.0 μB/f.u. As for the uncorrected formation energy: -0.0484 eV per atom.

Unit cell a=8.6406 b=3.9324 c=6.8395 alpha=90.00 beta=111.67 gamma=90.00
Last column: nearest neighbours and their distance in Å.
Space group Cm (No. 8)
Asymmetric unit:
Cd1 0.0000 0.0000 0.0000 (multiplicity 2)  3 Sb 2.79-2.97, 1 Cd 2.86
Cd2 0.1965 0.0000 0.7430 (multiplicity 2)  3 Se 2.76-2.95, 1 Cd 2.86
Sb1 0.2694 0.5000 0.1983 (multiplicity 2)  3 Cd 2.79-2.97, 2 Se 3.03
Se1 0.4286 0.0000 0.5542 (multiplicity 2)  3 Cd 2.76-2.95, 2 Sb 3.03

Entry 4:
DFT (PBE) results for a relaxed AsPRu3 crystal.

As for the total magnetization: 0.0 μB/f.u. As for the formation energy from the elements: 0.50 eV/atom.

Unit cell a=4.3728 b=4.3728 c=4.3728 alpha=90.00 beta=90.00 gamma=90.00
Last column: nearest neighbours and their distance in Å.
Space group Pm-3m (No. 221)
Asymmetric unit:
As1 0.0000 0.0000 0.0000 (multiplicity 1)  12 Ru 3.09
P1 0.5000 0.5000 0.5000 (multiplicity 1)  6 Ru 2.19
Ru1 0.0000 0.5000 0.5000 (multiplicity 3)  2 P 2.19